VASP calculation (PBE) on a relaxed structure of RbTaHg2P.

a = 5.950 Å, b = 5.963 Å, c = 5.950 Å
α = 90.00°, β = 90.00°, γ = 90.00°
Positions (direct):
P: 0.000 0.500 0.000
Hg: 0.000 0.000 0.500
Hg: 0.500 0.000 0.000
Rb: 0.000 0.000 0.000
Ta: 0.500 0.500 0.500

Summary:
For the total energy, the calculation gives -1.80 eV per atom. The formation energy is 1.968 eV/atom. Its space-group type is P4/mmm.

***

VASP calculation (PBE) on a relaxed structure of RbTcHg2P.

a = 5.342 Å, b = 6.670 Å, c = 5.342 Å
α = 90.00°, β = 90.00°, γ = 90.00°
Positions (direct):
P: 0.500 0.500 0.500
Hg: 0.000 0.000 0.500
Hg: 0.500 0.000 0.000
Rb: 0.000 0.500 0.000
Tc: 0.000 0.000 0.000

Summary:
For the total energy, the calculation gives -2.33 eV per atom. The formation energy is 1.136 eV/atom. Its space-group type is P4/mmm.

***

VASP calculation (PBE) on a relaxed structure of Rb2YHgP.

a = 7.137 Å, b = 5.619 Å, c = 7.137 Å
α = 90.00°, β = 90.00°, γ = 90.00°
Positions (direct):
Y: 0.000 0.000 0.000
P: 0.500 0.500 0.500
Hg: 0.000 0.500 0.000
Rb: 0.000 0.000 0.500
Rb: 0.500 0.000 0.000

Summary:
For the total energy, the calculation gives -1.81 eV per atom. The formation energy is 1.012 eV/atom. Its space-group type is P4/mmm.

***

VASP calculation (PBE) on a relaxed structure of Rb2YHgP.

a = 6.731 Å, b = 5.048 Å, c = 6.731 Å
α = 90.00°, β = 90.00°, γ = 90.00°
Positions (direct):
Y: 0.500 0.500 0.500
P: 0.000 0.000 0.000
Hg: 0.000 0.500 0.000
Rb: 0.000 0.000 0.500
Rb: 0.500 0.000 0.000

Summary:
For the total energy, the calculation gives -2.33 eV per atom. The formation energy is 0.496 eV/atom. Its space-group type is P4/mmm.

***

VASP calculation (PBE) on a relaxed structure of Re2HgP.

a = 2.787 Å, b = 2.787 Å, c = 10.758 Å
α = 90.00°, β = 90.00°, γ = 117.68°
Positions (direct):
Re: 0.000 0.000 0.996
Re: 0.500 0.500 0.792
Hg: 0.000 0.000 0.529
P: 0.500 0.500 0.182

Summary:
For the total energy, the calculation gives -7.14 eV per atom. The formation energy is 0.517 eV/atom. Its space-group type is Cmm2.

***

VASP calculation (PBE) on a relaxed structure of ReHgP3.

a = 4.866 Å, b = 4.866 Å, c = 4.866 Å
α = 90.00°, β = 90.00°, γ = 90.00°
Positions (direct):
Re: 0.500 0.500 0.500
Hg: 0.000 0.000 0.000
P: 0.000 0.500 0.000
P: 0.000 0.000 0.500
P: 0.500 0.000 0.000

Summary:
For the total energy, the calculation gives -3.59 eV per atom. The formation energy is 2.208 eV/atom. Its space-group type is Pm-3m.

***

VASP calculation (PBE) on a relaxed structure of ReHgP2.

a = 6.136 Å, b = 6.136 Å, c = 6.136 Å
α = 152.76°, β = 131.97°, γ = 56.09°
Positions (direct):
Hg: 0.250 0.750 0.500
P: 0.927 0.927 0.000
P: 0.573 0.573 0.000
Re: 0.750 0.250 0.500

Summary:
For the total energy, the calculation gives -5.46 eV per atom. The formation energy is 0.433 eV/atom. Its space-group type is Immm.

***

VASP calculation (PBE) on a relaxed structure of ReHgP2.

a = 2.970 Å, b = 2.970 Å, c = 8.543 Å
α = 90.00°, β = 90.00°, γ = 90.00°
Positions (direct):
Hg: 0.500 0.500 0.750
P: 0.000 0.000 0.085
P: 0.000 0.000 0.415
Re: 0.500 0.500 0.250

Summary:
For the total energy, the calculation gives -5.85 eV per atom. The formation energy is 0.038 eV/atom. Its space-group type is P4/mmm.

***

VASP calculation (PBE) on a relaxed structure of ReHgP2.

a = 4.503 Å, b = 4.503 Å, c = 3.181 Å
α = 90.00°, β = 90.00°, γ = 98.96°
Positions (direct):
Hg: 0.000 0.500 0.500
P: 0.000 0.000 0.000
P: 0.500 0.500 0.000
Re: 0.500 0.000 0.500

Summary:
For the total energy, the calculation gives -5.02 eV per atom. The formation energy is 0.873 eV/atom. Its space-group type is Cmmm.

***

VASP calculation (PBE) on a relaxed structure of Re3HgP.

a = 4.422 Å, b = 4.422 Å, c = 4.422 Å
α = 90.00°, β = 90.00°, γ = 90.00°
Positions (direct):
Re: 0.000 0.500 0.000
Re: 0.000 0.000 0.500
Re: 0.500 0.000 0.000
Hg: 0.500 0.500 0.500
P: 0.000 0.000 0.000

Summary:
For the total energy, the calculation gives -7.61 eV per atom. The formation energy is 1.003 eV/atom. Its space-group type is Pm-3m.

***

VASP calculation (PBE) on a relaxed structure of Re2HgP.

a = 7.381 Å, b = 7.381 Å, c = 7.381 Å
α = 154.38°, β = 156.89°, γ = 34.77°
Positions (direct):
Re: 0.912 0.912 0.000
Re: 0.235 0.735 0.500
Hg: 0.556 0.556 0.000
P: 0.797 0.297 0.500

Summary:
For the total energy, the calculation gives -7.25 eV per atom. The formation energy is 0.398 eV/atom. Its space-group type is Imm2.

***

VASP calculation (PBE) on a relaxed structure of Re2HgP.

a = 2.973 Å, b = 2.973 Å, c = 7.053 Å
α = 90.00°, β = 90.00°, γ = 90.00°
Positions (direct):
Re: 0.000 0.000 0.687
Re: 0.000 0.000 0.313
Hg: 0.500 0.500 0.000
P: 0.500 0.500 0.500

Summary:
For the total energy, the calculation gives -7.32 eV per atom. The formation energy is 0.336 eV/atom. Its space-group type is P4/mmm.

***

> formation energy of number 10 (Re3HgP)?

1.003 eV/atom

***

> Which value of formation energy does entry 9 give?

0.873 eV/atom